DFT (GGA-PBE) results for a geometry-optimized SrAc2Ge3Au12 structure.

density: 10.91 g cm⁻³
energy relative to the elements: -3.4 eV per formula unit
raw total energy: -3.694 eV/atom
total magnetic moment: 0.0 μB per cell

Cell: 9.1772 9.1772 19.5524 Å, 90.00 90.00 120.00°
Space group R-3m (No. 166, hexagonal axes)
One atom of each set of equivalent atoms:
1 Sr 0.0000 0.0000 0.0000 (multiplicity 3)
2 Ac 0.0000 0.0000 0.3994 (multiplicity 6)
3 Ge 0.0000 0.5000 0.5000 (multiplicity 9)
4 Au 0.0175 0.5087 0.8281 (multiplicity 18)
5 Au 0.0369 0.5185 0.3680 (multiplicity 18)